w.
DFT (PBE-GGA) results for an optimized crystal structure of In8Ga2Hg.

Density of states at the Fermi level: 4.3 states/eV per cell

Cell lengths 5.7159, 6.4008, 8.5223 Å; angles 112.06, 90.73, 90.00 degrees
Atoms (fractional coordinates):
Hg (0.0000, 0.0000, 0.0000)
Ga (0.4132, 0.7447, 0.4893)
Ga (0.5868, 0.2553, 0.5107)
In (0.5778, 0.3428, 0.1882)
In (0.4222, 0.1546, 0.8118)
In (0.9103, 0.8026, 0.6052)
In (0.0897, 0.1974, 0.3948)
In (0.5778, 0.8454, 0.1882)
In (0.4222, 0.6572, 0.8118)
In (0.0683, 0.5983, 0.1967)
In (0.9317, 0.4017, 0.8033)



x.
DFT (PBE-GGA) results for an optimized crystal structure of In8Ga2Hg.

Density of states at the Fermi level: 3.6 states/eV per cell

Cell lengths 4.4236, 7.8852, 8.8890 Å; angles 107.59, 104.41, 90.00 degrees
Atoms (fractional coordinates):
In (0.4030, 0.5143, 0.8060)
In (0.6730, 0.9422, 0.3461)
In (0.8307, 0.7254, 0.6614)
In (0.9679, 0.2552, 0.9357)
In (0.1693, 0.2746, 0.3386)
In (0.3270, 0.0578, 0.6539)
In (0.5970, 0.4857, 0.1940)
In (0.0321, 0.7448, 0.0643)
Ga (0.7933, 0.3087, 0.5866)
Ga (0.2067, 0.6913, 0.4134)
Hg (0.5000, 0.0000, 0.0000)



So which one is most stable? That would be x, about 1.8 kJ/mol of atoms below the next structure.